1.
! PBE HfPPb3, relaxed; values from VASP
&SYSTEM
  ibrav = 0, nat = 5, ntyp = 3
/
ATOMIC_SPECIES
Hf 178.49 Hf.upf
P 30.97 P.upf
Pb 207.20 Pb.upf
ATOMIC_POSITIONS angstrom
Hf 0.0000 0.0000 0.0000
P 2.6602 2.6602 2.6602
Pb 0.0000 2.6602 2.6602
Pb 2.6602 0.0000 2.6602
Pb 2.6602 2.6602 0.0000
CELL_PARAMETERS angstrom
5.3205 0.0000 0.0000
0.0000 5.3205 0.0000
0.0000 0.0000 5.3205
! M_tot in μB/f.u.: 0.0
! E_tot in eV/atom: -4.443
! Density in g/cm3: 9.2
! Offset from the most stable computed form in meV/atom: 0.0
! DOS(E_F) in states/eV/atom: 1.20
! Formation energy in meV per atom: 855

***

2.
! PBE Hf3PPb, relaxed; values from VASP
&SYSTEM
  ibrav = 0, nat = 5, ntyp = 3
/
ATOMIC_SPECIES
Hf 178.49 Hf.upf
P 30.97 P.upf
Pb 207.20 Pb.upf
ATOMIC_POSITIONS angstrom
Hf 0.0000 0.0000 2.6468
Hf 0.0000 2.6468 0.0000
Hf 2.6468 0.0000 0.0000
P 2.6468 2.6468 2.6468
Pb 0.0000 0.0000 0.0000
CELL_PARAMETERS angstrom
5.2936 0.0000 0.0000
0.0000 5.2936 0.0000
0.0000 0.0000 5.2936
! M_tot in μB/f.u.: 0.0
! E_tot in eV/atom: -6.142
! Density in g/cm3: 8.7
! Offset from the most stable computed form in meV/atom: 2036.8
! DOS(E_F) in states/eV/atom: 1.94
! Formation energy in meV per atom: 1653

***

3.
! PBE Hf3PPb, relaxed; values from VASP
&SYSTEM
  ibrav = 0, nat = 10, ntyp = 3
/
ATOMIC_SPECIES
Hf 178.49 Hf.upf
P 30.97 P.upf
Pb 207.20 Pb.upf
ATOMIC_POSITIONS angstrom
Hf -0.3904 0.0000 1.8125
Hf 0.6557 0.0000 5.1582
Hf 4.8883 0.0000 2.3553
Hf 5.6187 0.0000 5.7769
Hf 9.8513 0.0000 2.9741
Hf 10.8974 0.0000 6.3197
P 3.3371 0.0000 4.4182
P 7.1699 0.0000 3.7140
Pb 2.3552 0.0000 0.3979
Pb 8.1518 0.0000 7.7344
CELL_PARAMETERS angstrom
7.8405 -1.7209 0.0000
7.8405 1.7209 0.0000
-5.1741 0.0000 8.1322
! M_tot in μB/f.u.: 0.0
! E_tot in eV/atom: -8.179
! Density in g/cm3: 11.7
! Offset from the most stable computed form in meV/atom: 0.0
! DOS(E_F) in states/eV/atom: 0.86
! Formation energy in meV per atom: -384

***

4.
! PBE Hf2PPb, relaxed; values from VASP
&SYSTEM
  ibrav = 0, nat = 4, ntyp = 3
/
ATOMIC_SPECIES
Hf 178.49 Hf.upf
P 30.97 P.upf
Pb 207.20 Pb.upf
ATOMIC_POSITIONS angstrom
Hf 0.0000 0.0000 0.0000
Hf 0.0000 0.0000 4.6725
P 0.0000 0.0000 13.7166
Pb 0.0000 0.0000 9.8953
CELL_PARAMETERS angstrom
1.7991 1.0387 7.5841
-1.7991 1.0387 7.5841
0.0000 -2.0774 7.5841
! M_tot in μB/f.u.: 0.0
! E_tot in eV/atom: -7.927
! Density in g/cm3: 11.6
! Offset from the most stable computed form in meV/atom: 0.0
! DOS(E_F) in states/eV/atom: 0.51
! Formation energy in meV per atom: -670

***

5.
! PBE HfPPb2, relaxed; values from VASP
&SYSTEM
  ibrav = 0, nat = 8, ntyp = 3
/
ATOMIC_SPECIES
Hf 178.49 Hf.upf
P 30.97 P.upf
Pb 207.20 Pb.upf
ATOMIC_POSITIONS angstrom
Hf 0.0000 0.0000 0.0000
Hf 0.0000 4.1061 1.4742
P 4.1061 0.0000 1.4742
P 0.0000 0.0000 2.9484
Pb 2.0530 -1.8838 2.2113
Pb 2.2222 2.0530 0.7371
Pb 2.0530 5.9899 -0.7371
Pb 1.8838 2.0530 3.6855
CELL_PARAMETERS angstrom
-4.1061 4.1061 2.9484
4.1061 -4.1061 2.9484
4.1061 4.1061 -2.9484
! M_tot in μB/f.u.: 0.0
! E_tot in eV/atom: -5.261
! Density in g/cm3: 10.4
! DOS(E_F) in states/eV/atom: 0.93
! Formation energy in meV per atom: 434

***

6.
! PBE HfP3Pb, relaxed; values from VASP
&SYSTEM
  ibrav = 0, nat = 5, ntyp = 3
/
ATOMIC_SPECIES
Hf 178.49 Hf.upf
P 30.97 P.upf
Pb 207.20 Pb.upf
ATOMIC_POSITIONS angstrom
Hf 0.0000 0.0000 0.0000
P 0.0000 2.4956 2.4956
P 2.4956 0.0000 2.4956
P 2.4956 2.4956 0.0000
Pb 2.4956 2.4956 2.4956
CELL_PARAMETERS angstrom
4.9913 0.0000 0.0000
0.0000 4.9913 0.0000
0.0000 0.0000 4.9913
! M_tot in μB/f.u.: 0.0
! E_tot in eV/atom: -4.619
! Density in g/cm3: 6.4
! Offset from the most stable computed form in meV/atom: 1228.8
! DOS(E_F) in states/eV/atom: 0.68
! Formation energy in meV per atom: 1359

***

7.
! PBE Hf3PPb, relaxed; values from VASP
&SYSTEM
  ibrav = 0, nat = 5, ntyp = 3
/
ATOMIC_SPECIES
Hf 178.49 Hf.upf
P 30.97 P.upf
Pb 207.20 Pb.upf
ATOMIC_POSITIONS angstrom
Hf 0.0000 0.0000 2.4311
Hf 0.0000 2.4311 0.0000
Hf 2.4311 0.0000 0.0000
P 0.0000 0.0000 0.0000
Pb 2.4311 2.4311 2.4311
CELL_PARAMETERS angstrom
4.8622 0.0000 0.0000
0.0000 4.8622 0.0000
0.0000 0.0000 4.8622
! M_tot in μB/f.u.: 0.0
! E_tot in eV/atom: -7.953
! Density in g/cm3: 11.2
! Offset from the most stable computed form in meV/atom: 226.4
! DOS(E_F) in states/eV/atom: 1.12
! Formation energy in meV per atom: -157

***

8.
! PBE HfP3Pb, relaxed; values from VASP
&SYSTEM
  ibrav = 0, nat = 5, ntyp = 3
/
ATOMIC_SPECIES
Hf 178.49 Hf.upf
P 30.97 P.upf
Pb 207.20 Pb.upf
ATOMIC_POSITIONS angstrom
Hf 0.0000 0.0000 0.0000
P 0.0000 0.0000 2.5038
P 0.0000 2.5038 0.0000
P 2.5038 0.0000 0.0000
Pb 2.5038 2.5038 2.5038
CELL_PARAMETERS angstrom
5.0075 0.0000 0.0000
0.0000 5.0075 0.0000
0.0000 0.0000 5.0075
! M_tot in μB/f.u.: 0.0
! E_tot in eV/atom: -5.848
! Density in g/cm3: 6.3
! Offset from the most stable computed form in meV/atom: 0.0
! DOS(E_F) in states/eV/atom: 0.83
! Formation energy in meV per atom: 130

***

9.
! PBE Hf2PPb, relaxed; values from VASP
&SYSTEM
  ibrav = 0, nat = 4, ntyp = 3
/
ATOMIC_SPECIES
Hf 178.49 Hf.upf
P 30.97 P.upf
Pb 207.20 Pb.upf
ATOMIC_POSITIONS angstrom
Hf 0.0000 0.0000 5.1982
Hf 0.0000 0.0000 17.5317
P 0.0000 0.0000 11.3650
Pb 0.0000 0.0000 0.0000
CELL_PARAMETERS angstrom
1.8097 1.0448 7.5766
-1.8097 1.0448 7.5766
0.0000 -2.0896 7.5766
! M_tot in μB/f.u.: 0.0
! E_tot in eV/atom: -7.886
! Density in g/cm3: 11.5
! Offset from the most stable computed form in meV/atom: 40.5
! DOS(E_F) in states/eV/atom: 0.55
! Formation energy in meV per atom: -630

***

10.
! PBE HfP2PbS8, relaxed; values from VASP
&SYSTEM
  ibrav = 0, nat = 12, ntyp = 4
/
ATOMIC_SPECIES
Hf 178.49 Hf.upf
P 30.97 P.upf
Pb 207.20 Pb.upf
S 32.06 S.upf
ATOMIC_POSITIONS angstrom
Hf 0.0000 0.0000 0.0000
P 3.5372 0.0000 1.9285
P 5.8569 0.0000 6.6950
Pb -0.3293 0.0000 4.3117
S 2.5120 0.0000 0.1645
S 4.4764 1.6177 6.7492
S 4.9177 1.6177 1.8743
S 2.6669 0.0000 3.7115
S 6.7272 0.0000 4.9120
S 4.4764 -1.6177 6.7492
S 4.9177 -1.6177 1.8743
S 6.8821 0.0000 8.4590
CELL_PARAMETERS angstrom
5.0264 -3.3707 0.0000
5.0264 3.3707 0.0000
-0.6587 0.0000 8.6235
! Energy relative to the elements, uncorrected in kJ per mole of atoms: -46.24
! M_tot in μB/f.u.: 0.0
! E_tot in eV/atom: -5.271
! Density in g/cm3: 4.0
! DOS(E_F) in states/eV/atom: 0.04

***

11.
! PBE HfPPbS2, relaxed; values from VASP
&SYSTEM
  ibrav = 0, nat = 5, ntyp = 4
/
ATOMIC_SPECIES
Hf 178.49 Hf.upf
P 30.97 P.upf
Pb 207.20 Pb.upf
S 32.06 S.upf
ATOMIC_POSITIONS angstrom
Hf 0.0000 0.0000 0.0000
P 2.5150 2.5150 0.0000
Pb 2.5150 2.5150 2.5332
S 0.0000 2.5150 2.5332
S 2.5150 0.0000 2.5332
CELL_PARAMETERS angstrom
5.0299 0.0000 0.0000
0.0000 5.0299 0.0000
0.0000 0.0000 5.0663
! Energy relative to the elements, uncorrected in kJ per mole of atoms: 84.31
! M_tot in μB/f.u.: 0.0
! E_tot in eV/atom: -4.591
! Density in g/cm3: 6.2
! Offset from the most stable computed form in meV/atom: 1392.3
! DOS(E_F) in states/eV/atom: 0.48

***

12.
! PBE HfPPbS2, relaxed; values from VASP
&SYSTEM
  ibrav = 0, nat = 5, ntyp = 4
/
ATOMIC_SPECIES
Hf 178.49 Hf.upf
P 30.97 P.upf
Pb 207.20 Pb.upf
S 32.06 S.upf
ATOMIC_POSITIONS angstrom
Hf 0.0000 0.0000 0.0000
P 0.0000 0.0000 2.5428
Pb 2.4664 2.4664 2.5428
S 0.0000 2.4664 0.0000
S 2.4664 0.0000 0.0000
CELL_PARAMETERS angstrom
4.9328 0.0000 0.0000
0.0000 4.9328 0.0000
0.0000 0.0000 5.0855
! Energy relative to the elements, uncorrected in kJ per mole of atoms: -50.02
! M_tot in μB/f.u.: 0.0
! E_tot in eV/atom: -5.984
! Density in g/cm3: 6.5
! Offset from the most stable computed form in meV/atom: 0.0
! DOS(E_F) in states/eV/atom: 0.47

***

Copy entry 1 word for word.
! PBE HfPPb3, relaxed; values from VASP
&SYSTEM
  ibrav = 0, nat = 5, ntyp = 3
/
ATOMIC_SPECIES
Hf 178.49 Hf.upf
P 30.97 P.upf
Pb 207.20 Pb.upf
ATOMIC_POSITIONS angstrom
Hf 0.0000 0.0000 0.0000
P 2.6602 2.6602 2.6602
Pb 0.0000 2.6602 2.6602
Pb 2.6602 0.0000 2.6602
Pb 2.6602 2.6602 0.0000
CELL_PARAMETERS angstrom
5.3205 0.0000 0.0000
0.0000 5.3205 0.0000
0.0000 0.0000 5.3205
! M_tot in μB/f.u.: 0.0
! E_tot in eV/atom: -4.443
! Density in g/cm3: 9.2
! Offset from the most stable computed form in meV/atom: 0.0
! DOS(E_F) in states/eV/atom: 1.20
! Formation energy in meV per atom: 855

***

Which formula does entry 6 have?
HfP3Pb